1.
# U3Mn5O12 (GGA+U, optimized geometry)
# * crystal system: cubic
# * final energy: -8.848 eV/atom
# * magnetic moment: 232.00 μB per cell
data_U3Mn5O12
_cell_length_a 12.7649
_cell_length_b 12.7649
_cell_length_c 12.7649
_cell_angle_alpha 90.00
_cell_angle_beta 90.00
_cell_angle_gamma 90.00
_symmetry_space_group_name_H-M 'I a -3 d'
_symmetry_Int_Tables_number 230
_symmetry_space_group_name_Hall '-I 4bd 2c 3'
loop_
_atom_site_label
_atom_site_type_symbol
_atom_site_fract_x
_atom_site_fract_y
_atom_site_fract_z
U1 U 0.0000 0.2500 0.1250
Mn1 Mn 0.0000 0.0000 0.0000
Mn2 Mn 0.0000 0.2500 0.3750
O1 O 0.0191 0.0678 0.6549

---

2.
# UMnO4 (GGA+U, optimized geometry)
# * crystal system: orthorhombic
# * final energy: -9.091 eV/atom
# * magnetic moment: 10.00 μB per cell
data_UMnO4
_cell_length_a 5.3515
_cell_length_b 5.0700
_cell_length_c 6.1104
_cell_angle_alpha 90.00
_cell_angle_beta 90.00
_cell_angle_gamma 90.00
_symmetry_space_group_name_H-M 'P n c 2'
_symmetry_Int_Tables_number 30
_symmetry_space_group_name_Hall 'P 2 -2bc'
loop_
_atom_site_label
_atom_site_type_symbol
_atom_site_fract_x
_atom_site_fract_y
_atom_site_fract_z
U1 U 0.0000 0.0000 0.0000
Mn1 Mn 0.5000 0.0000 0.6736
O1 O 0.1696 0.2305 0.7364
O2 O 0.3036 0.7141 0.4751

---

3.
# UMnV2O6 (GGA+U, optimized geometry)
# * crystal system: trigonal
# * final energy: -8.654 eV/atom
# * magnetic moment: 33.00 μB per cell
data_UMnV2O6
_cell_length_a 5.4052
_cell_length_b 5.4052
_cell_length_c 14.6428
_cell_angle_alpha 90.00
_cell_angle_beta 90.00
_cell_angle_gamma 120.00
_symmetry_space_group_name_H-M 'R 3'
_symmetry_Int_Tables_number 146
_symmetry_space_group_name_Hall 'R 3'
loop_
_atom_site_label
_atom_site_type_symbol
_atom_site_fract_x
_atom_site_fract_y
_atom_site_fract_z
U1 U 0.0000 0.0000 0.0000
Mn1 Mn 0.0000 0.0000 0.4939
V1 V 0.0000 0.0000 0.2044
V2 V 0.0000 0.0000 0.6997
O1 O 0.0397 0.3458 0.2718
O2 O 0.0508 0.6833 0.7718

---

Question: The highest final energy belongs to which entry?
Answer: UMnV2O6

---

Question: Which of these has the highest final energy?
Answer: UMnV2O6

---

Question: Which formula does entry 1 have?
Answer: U3Mn5O12